1.
The following is a PBE-GGA calculation of a relaxed Pm7AuI12 crystal, from OQMD via LeMat-Bulk.

The structure in CIF format:
```
data_Pm7AuI12
_cell_length_a 16.1093
_cell_length_b 16.1093
_cell_length_c 10.6918
_cell_angle_alpha 90.00
_cell_angle_beta 90.00
_cell_angle_gamma 120.00
_symmetry_space_group_name_H-M 'R -3'
_symmetry_Int_Tables_number 148
_symmetry_space_group_name_Hall '-R 3'
loop_
_atom_site_label
_atom_site_type_symbol
_atom_site_fract_x
_atom_site_fract_y
_atom_site_fract_z
_atom_site_occupancy
Pm1 Pm 0.0000 0.0000 0.0000 1
Pm2 Pm 0.0455 0.1628 0.3418 1
Au1 Au 0.0000 0.0000 0.5000 1
I1 I 0.0237 0.5867 0.1631 1
I2 I 0.0520 0.1865 0.8428 1
```

Results
E = -4.007 eV per atom
calculated density = 5.7 g/cm³
magnetization = 0.004 μB/atom

2.
The following is a PBE-GGA calculation of a relaxed RbAuI4 crystal, from OQMD via LeMat-Bulk.

The structure in CIF format:
```
data_RbAuI4
_cell_length_a 14.179
_cell_length_b 6.589
_cell_length_c 11.282
_cell_angle_alpha 90.00
_cell_angle_beta 101.84
_cell_angle_gamma 90.00
_symmetry_space_group_name_H-M 'C 1 2/c 1'
_symmetry_Int_Tables_number 15
loop_
_symmetry_equiv_pos_as_xyz
'x,y,z'
'-x,-y,-z'
'-x,y,-z+1/2'
'x,-y,z+1/2'
'x+1/2,y+1/2,z'
'-x+1/2,-y+1/2,-z'
'-x+1/2,y+1/2,-z+1/2'
'x+1/2,-y+1/2,z+1/2'
loop_
_atom_site_label
_atom_site_type_symbol
_atom_site_fract_x
_atom_site_fract_y
_atom_site_fract_z
_atom_site_occupancy
Rb1 Rb 0.000 0.235 0.250 1
Au1 Au 0.250 0.250 0.000 1
I1 I 0.059 0.256 0.930 1
I2 I 0.236 0.056 0.654 1
```

Results
E = -2.285 eV per atom
calculated density = 5.1 g/cm³

3.
The following is a PBE-GGA calculation of a relaxed Rb2ScAuI6 crystal, from OQMD via LeMat-Bulk.

The structure in CIF format:
```
data_Rb2ScAuI6
_cell_length_a 8.3733
_cell_length_b 8.3733
_cell_length_c 19.9907
_cell_angle_alpha 90.00
_cell_angle_beta 90.00
_cell_angle_gamma 120.00
_symmetry_space_group_name_H-M 'R -3'
_symmetry_Int_Tables_number 148
_symmetry_space_group_name_Hall '-R 3'
loop_
_atom_site_label
_atom_site_type_symbol
_atom_site_fract_x
_atom_site_fract_y
_atom_site_fract_z
_atom_site_occupancy
Rb1 Rb 0.0000 0.0000 0.2358 1
Sc1 Sc 0.0000 0.0000 0.5000 1
Au1 Au 0.0000 0.0000 0.0000 1
I1 I 0.0108 0.5671 0.2502 1
```

Results
E = -3.109 eV per atom
calculated density = 4.8 g/cm³
magnetization = 0.000 μB/atom

4.
The following is a PBE-GGA calculation of a relaxed Rb2TlAuI6 crystal, from OQMD via LeMat-Bulk.

The structure in CIF format:
```
data_Rb2TlAuI6
_cell_length_a 12.051
_cell_length_b 12.051
_cell_length_c 12.051
_cell_angle_alpha 90.00
_cell_angle_beta 90.00
_cell_angle_gamma 90.00
_symmetry_space_group_name_H-M 'F m -3 m'
_symmetry_Int_Tables_number 225
_symmetry_space_group_name_Hall '-F 4 2 3'
loop_
_atom_site_label
_atom_site_type_symbol
_atom_site_fract_x
_atom_site_fract_y
_atom_site_fract_z
_atom_site_occupancy
Rb1 Rb 0.250 0.250 0.250 1
Tl1 Tl 0.000 0.000 0.000 1
Au1 Au 0.000 0.000 0.500 1
I1 I 0.000 0.000 0.260 1
```

Results
E = -2.382 eV per atom
calculated density = 5.1 g/cm³

Question: calculated density of number 2 (RbAuI4)?
Answer: 5.1 g/cm³

Question: Number 4 is which compound?
Answer: Rb2TlAuI6

Question: calculated density of number 1 (Pm7AuI12)?
Answer: 5.7 g/cm³

Question: Which value of calculated density does entry 2 give?
Answer: 5.1 g/cm³